(1)
# Pm3ThAs4 (PBE, optimized geometry)
data_Pm3ThAs4
_chemical_formula_sum 'Pm6 Th2 As8'
_space_group_name_H-M_alt 'C m m m'
_space_group_IT_number 65
_space_group_name_Hall '-C 2 2'
_cell_length_a 8.480
_cell_length_b 11.989
_cell_length_c 4.247
_cell_angle_alpha 90.00
_cell_angle_beta 90.00
_cell_angle_gamma 90.00
loop_
_atom_site_label
_atom_site_fract_x
_atom_site_fract_y
_atom_site_fract_z
_atom_site_occupancy
Pm1 0.000 0.000 0.000 1
Pm2 0.250 0.250 0.500 1
Th1 0.000 0.500 0.000 1
As1 0.000 0.251 0.000 1
As2 0.249 0.500 0.500 1
# M_tot   0.0 μB/f.u.
# V   216 Å³/f.u.

(2)
# Pm3ThAs4 (PBE, optimized geometry)
data_Pm3ThAs4
_chemical_formula_sum 'Pm3 Th1 As4'
_space_group_name_H-M_alt 'P m -3 m'
_space_group_IT_number 221
_space_group_name_Hall '-P 4 2 3'
_cell_length_a 6.001
_cell_length_b 6.001
_cell_length_c 6.001
_cell_angle_alpha 90.00
_cell_angle_beta 90.00
_cell_angle_gamma 90.00
loop_
_atom_site_label
_atom_site_fract_x
_atom_site_fract_y
_atom_site_fract_z
_atom_site_occupancy
Pm1 0.000 0.000 0.500 1
Th1 0.500 0.500 0.500 1
As1 0.000 0.000 0.000 1
As2 0.000 0.500 0.500 1
# M_tot   0.0 μB/f.u.
# V   216 Å³/f.u.

Stability ranking, top and bottom: (1) is the most stable and (2) is the least stable.